DFT (PBE) results for a geometry-optimized MoIr2Br structure.

Cell lengths 2.8181, 2.8181, 30.3940 Å; angles 90.00, 90.00, 120.00 degrees
Space group R-3m (No. 166, hexagonal axes)
Unique sites:
Mo: 0.0000 0.0000 0.0000 [3 per cell]
Ir: 0.0000 0.0000 0.2633 [6 per cell]
Br: 0.0000 0.0000 0.5000 [3 per cell]

The theoretical density comes out at 13.4 g cm⁻³. As for the uncorrected formation energy: 0.3576 eV/atom. Its energy above the most stable polymorph in this dataset is 0 meV per atom. The value obtained for the total energy is -7.20 eV per atom.